Record 1
Nd4Se3O | PBE | optimized geometry

CIF file:
```
data_Nd4Se3O
_chemical_formula_sum 'Nd8 Se6 O2'
_cell_length_a 5.7931
_cell_length_b 9.8732
_cell_length_c 8.0187
_cell_angle_alpha 90.00
_cell_angle_beta 90.00
_cell_angle_gamma 90.00
_space_group_name_H-M_alt 'P m m n'
_space_group_IT_number 59
loop_
_space_group_symop_operation_xyz
'x,y,z'
'-x,-y,-z'
'-x+1/2,-y+1/2,z'
'x+1/2,y+1/2,-z'
'x+1/2,-y,-z'
'-x+1/2,y,z'
'-x,y+1/2,-z'
'x,-y+1/2,z'
loop_
_atom_site_label
_atom_site_type_symbol
_atom_site_fract_x
_atom_site_fract_y
_atom_site_fract_z
_atom_site_occupancy
Nd1 Nd 0.2500 0.0355 0.2274 1
Nd2 Nd 0.2500 0.2500 0.6421 1
Nd3 Nd 0.2500 0.7500 0.6361 1
Se1 Se 0.2500 0.5088 0.8519 1
Se2 Se 0.2500 0.7500 0.2753 1
O1 O 0.2500 0.2500 0.3491 1
```

Results
Calculated density, g cm⁻³: 6.0
Final energy, Ry/atom: -0.4513
D(E_F), states/eV per cell: 9.81
Size of the total moment, μB per atom: 0.000
Formation energy without anion corrections, eV/atom: -1.8300

***

Record 2
Y2Zr3Co2 | PBE | optimized geometry

CIF file:
```
data_Y2Zr3Co2
_chemical_formula_sum 'Y4 Zr6 Co4'
_cell_length_a 11.4522
_cell_length_b 3.4923
_cell_length_c 8.3251
_cell_angle_alpha 90.00
_cell_angle_beta 114.94
_cell_angle_gamma 90.00
_space_group_name_H-M_alt 'C 1 2/m 1'
_space_group_IT_number 12
loop_
_space_group_symop_operation_xyz
'x,y,z'
'-x,-y,-z'
'-x,y,-z'
'x,-y,z'
'x+1/2,y+1/2,z'
'-x+1/2,-y+1/2,-z'
'-x+1/2,y+1/2,-z'
'x+1/2,-y+1/2,z'
loop_
_atom_site_label
_atom_site_type_symbol
_atom_site_fract_x
_atom_site_fract_y
_atom_site_fract_z
_atom_site_occupancy
Y1 Y 0.1547 0.0000 0.2991 1
Zr1 Zr 0.0000 0.5000 0.5000 1
Zr2 Zr 0.1199 0.5000 0.9333 1
Co1 Co 0.1528 0.0000 0.7349 1
```

Results
Calculated density, g cm⁻³: 6.3
Final energy, Ry/atom: -0.5682
D(E_F), states/eV per cell: 16.41
Formation energy from the elements, eV per atom: -0.191
Size of the total moment, μB per atom: 0.000

***

Record 3
AlSi2Rh2 | PBE | optimized geometry

CIF file:
```
data_AlSi2Rh2
_chemical_formula_sum 'Al2 Si4 Rh4'
_cell_length_a 7.2452
_cell_length_b 7.2452
_cell_length_c 2.7320
_cell_angle_alpha 90.00
_cell_angle_beta 90.00
_cell_angle_gamma 90.00
_space_group_name_H-M_alt 'P 4/m b m'
_space_group_IT_number 127
_space_group_name_Hall '-P 4 2ab'
loop_
_atom_site_label
_atom_site_type_symbol
_atom_site_fract_x
_atom_site_fract_y
_atom_site_fract_z
_atom_site_occupancy
Al1 Al 0.0000 0.0000 0.0000 1
Si1 Si 0.1436 0.3564 0.0000 1
Rh1 Rh 0.1485 0.6485 0.5000 1
```

Results
Calculated density, g cm⁻³: 6.7
Final energy, Ry/atom: -0.4618
D(E_F), states/eV per cell: 4.97
Size of the total moment, μB per atom: 0.000
Formation energy without anion corrections, eV/atom: -0.4243

***

Record 4
DyCoC2 | PBE | optimized geometry

CIF file:
```
data_DyCoC2
_chemical_formula_sum 'Dy4 Co4 C8'
_cell_length_a 4.1401
_cell_length_b 9.1930
_cell_length_c 4.8772
_cell_angle_alpha 90.00
_cell_angle_beta 90.00
_cell_angle_gamma 90.00
_space_group_name_H-M_alt 'C m c m'
_space_group_IT_number 63
_space_group_name_Hall '-C 2c 2'
loop_
_atom_site_label
_atom_site_type_symbol
_atom_site_fract_x
_atom_site_fract_y
_atom_site_fract_z
_atom_site_occupancy
Dy1 Dy 0.0000 0.1805 0.2500 1
Co1 Co 0.0000 0.5000 0.0000 1
C1 C 0.1688 0.0849 0.7500 1
```

Results
Calculated density, g cm⁻³: 8.8
Final energy, Ry/atom: -0.5763
D(E_F), states/eV per cell: 2.44
Formation energy from the elements, eV per atom: -0.302
Size of the total moment, μB per atom: 0.000